No. 1
{
  "formula": "P2Ir",
  "functional": "PBE",
  "state": "relaxed",
  "cell": [[-2.7766, 2.7766, 2.8687], [2.7766, -2.7766, 2.8687], [2.7766, 2.7766, -2.8687]],
  "species": ["P", "P", "P", "P", "Ir", "Ir"],
  "fractional_positions": [[0.3491, 0.1509, 0.5000], [0.6509, 0.8491, 0.5000], [0.1509, 0.6509, 0.8018], [0.8491, 0.3491, 0.1982], [0.7500, 0.7500, 0.0000], [0.2500, 0.2500, 0.0000]],
  "spacegroup": "I4/mcm",
  "vol_a3_per_cell": 88.47,
  "energy_ev_per_atom": -6.460,
  "crystal_system": "tetragonal",
  "ef_kj_per_mol_atoms": 10
}

No. 2
{
  "formula": "PIr",
  "functional": "PBE",
  "state": "relaxed",
  "cell": [[8.8161, 0.0000, 0.0000], [-4.4081, 7.6350, 0.0000], [0.0000, 0.0000, 3.7547]],
  "species": ["P", "P", "P", "P", "P", "P", "Ir", "Ir", "Ir", "Ir", "Ir", "Ir"],
  "fractional_positions": [[0.7058, 0.0818, 0.2500], [0.6240, 0.7058, 0.7500], [0.9182, 0.6240, 0.2500], [0.2942, 0.9182, 0.7500], [0.3760, 0.2942, 0.2500], [0.0818, 0.3760, 0.7500], [0.9295, 0.3602, 0.2500], [0.5693, 0.9295, 0.7500], [0.6398, 0.5693, 0.2500], [0.0705, 0.6398, 0.7500], [0.4307, 0.0705, 0.2500], [0.3602, 0.4307, 0.7500]],
  "spacegroup": "P6_3/m",
  "vol_a3_per_cell": 252.73,
  "energy_ev_per_atom": -7.492,
  "crystal_system": "hexagonal",
  "ef_kj_per_mol_atoms": -34
}

No. 3
{
  "formula": "PIr",
  "functional": "PBE",
  "state": "relaxed",
  "cell": [[2.9192, 0.0019, -0.0086], [1.4529, 3.2288, -0.0083], [0.0134, 1.2646, 3.5078]],
  "species": ["P", "Ir"],
  "fractional_positions": [[0.6471, 0.0040, 0.1548], [0.8766, 0.5465, 0.8061]],
  "spacegroup": "Cm",
  "vol_a3_per_cell": 33.07,
  "energy_ev_per_atom": -7.426,
  "crystal_system": "monoclinic",
  "ef_kj_per_mol_atoms": -28
}

No. 4
{
  "formula": "P3Ir",
  "functional": "PBE",
  "state": "relaxed",
  "cell": [[3.8320, 0.0005, -0.0011], [-1.5621, 4.2049, 0.0018], [-0.3140, -1.2975, 4.3255]],
  "species": ["P", "P", "P", "Ir"],
  "fractional_positions": [[0.5876, 0.7442, 0.4545], [0.1405, 0.3616, 0.5760], [0.9865, 0.0878, 0.9266], [0.5541, 0.1817, 0.2574]],
  "polymorph_energy_ev_per_fu": 2.037,
  "spacegroup": "P1",
  "vol_a3_per_cell": 69.71,
  "energy_ev_per_atom": -6.407,
  "crystal_system": "triclinic",
  "ef_kj_per_mol_atoms": -13
}

What did the first record say?
{
  "formula": "P2Ir",
  "functional": "PBE",
  "state": "relaxed",
  "cell": [[-2.7766, 2.7766, 2.8687], [2.7766, -2.7766, 2.8687], [2.7766, 2.7766, -2.8687]],
  "species": ["P", "P", "P", "P", "Ir", "Ir"],
  "fractional_positions": [[0.3491, 0.1509, 0.5000], [0.6509, 0.8491, 0.5000], [0.1509, 0.6509, 0.8018], [0.8491, 0.3491, 0.1982], [0.7500, 0.7500, 0.0000], [0.2500, 0.2500, 0.0000]],
  "spacegroup": "I4/mcm",
  "vol_a3_per_cell": 88.47,
  "energy_ev_per_atom": -6.460,
  "crystal_system": "tetragonal",
  "ef_kj_per_mol_atoms": 10
}